Material: ReAg3P
Method: DFT, PBE
State: optimized geometry

The structure in POSCAR format:
```
ReAg3P
1.0
4.6930 0.0000 0.0000
0.0000 4.6930 0.0000
0.0000 0.0000 4.6930
Re Ag P
1 3 1
direct
0.5000 0.5000 0.5000 Re
0.0000 0.5000 0.0000 Ag
0.0000 0.0000 0.5000 Ag
0.5000 0.0000 0.0000 Ag
0.0000 0.0000 0.0000 P
```

Summary:
Total energy: -3.969 eV per atom
Space group: No. 221
Total magnetic moment: 4.2 μB per formula unit
E_form: 1.3129 eV per atom
Relative energy among the computed polymorphs: 0.000 eV per formula unit